Na3Sm2TmSe6 | GGA-PBE | optimized geometry

Output
Volume ... 26.62 A^3/atom
DFT total energy ... -0.362 Ry/atom
Space group ... C2/m, No. 12

Cell: 7.2519 7.2519 7.4207 Å, 99.39 99.39 120.00°
Fractional coordinates of all 12 atoms:
Na 0.1677 0.8323 0.5000
Na 0.8323 0.1677 0.5000
Na 0.5000 0.5000 0.5000
Sm 0.3335 0.6665 0.0000
Sm 0.6665 0.3335 0.0000
Tm 0.0000 0.0000 0.0000
Se 0.9229 0.5975 0.7685
Se 0.7519 0.7519 0.2308
Se 0.0771 0.4025 0.2315
Se 0.5975 0.9229 0.7685
Se 0.2481 0.2481 0.7692
Se 0.4025 0.0771 0.2315